1.
Compound: Y3HN
Source: the Alexandria database
Functional: SCAN
Structure: single point on PBEsol structure

Unit cell a=4.4083 b=4.4083 c=4.4083 alpha=90.00 beta=90.00 gamma=90.00
With the nearest neighbours (Å) after each atom.
Element x y z (fractional)
Y 0.0000 0.0000 0.5000  2 H 2.20
Y 0.0000 0.5000 0.0000  2 H 2.20
Y 0.5000 0.0000 0.0000  2 H 2.20
H 0.0000 0.0000 0.0000  6 Y 2.20
N 0.5000 0.5000 0.5000  12 Y 3.12

For the final energy, the calculation gives -94.0 eV/f.u. The total moment is 0.00 μB/atom.

2.
Compound: HfGeMo
Source: the Alexandria database
Functional: SCAN
Structure: single point on PBEsol structure

Unit cell a=6.9447 b=3.4926 c=8.2633 alpha=90.00 beta=90.00 gamma=90.00
With the nearest neighbours (Å) after each atom.
Element x y z (fractional)
Hf 0.0492 0.2500 0.1666  5 Ge 2.73-2.89, 2 Mo 2.95
Hf 0.4508 0.7500 0.6666  5 Ge 2.73-2.89, 2 Mo 2.95
Hf 0.5492 0.2500 0.3334  5 Ge 2.73-2.89, 2 Mo 2.95
Hf 0.9508 0.7500 0.8334  5 Ge 2.73-2.89, 2 Mo 2.95
Ge 0.2488 0.7500 0.3614  4 Mo 2.54-2.71, 4 Hf 2.73-2.75
Ge 0.2512 0.2500 0.8614  4 Mo 2.54-2.71, 4 Hf 2.73-2.75
Ge 0.7488 0.7500 0.1386  4 Mo 2.54-2.71, 4 Hf 2.73-2.75
Ge 0.7512 0.2500 0.6386  4 Mo 2.54-2.71, 4 Hf 2.73-2.75
Mo 0.1308 0.2500 0.5623  4 Ge 2.54-2.71, 2 Mo 2.72
Mo 0.3692 0.7500 0.0623  4 Ge 2.54-2.71, 2 Mo 2.72
Mo 0.6308 0.2500 0.9377  4 Ge 2.54-2.71, 2 Mo 2.72
Mo 0.8692 0.7500 0.4377  4 Ge 2.54-2.71, 2 Mo 2.72

For the final energy, the calculation gives -118.5 eV/f.u. The total moment is 0.00 μB/atom.